No. 1
Compound: YAlAg2
Source: Alexandria via LeMat-Bulk
Functional: PBE
Structure: optimized geometry

a = 3.432 Å, b = 3.460 Å, c = 6.885 Å
α = 90.00°, β = 90.00°, γ = 90.00°
Space group Pmm2 (No. 25)
One atom of each set of equivalent atoms:
Y 0.000 0.000 0.000
Al 0.500 0.500 0.291
Ag 0.000 0.000 0.481
Ag 0.500 0.500 0.715

Summary:
Spin magnetization   0.119 μB per cell
Raw total energy   -4.17 eV/atom
Volume   81.8 Å³ per cell
Crystal system   orthorhombic
DOS(E_F)   2.2 states/eV/f.u.

=====

No. 2
Compound: Y2AlAg2
Source: Alexandria via LeMat-Bulk
Functional: PBE
Structure: optimized geometry

a = 8.278 Å, b = 8.278 Å, c = 3.637 Å
α = 90.00°, β = 90.00°, γ = 90.00°
Space group P4/mbm (No. 127)
One atom of each set of equivalent atoms:
Y 0.166 0.334 0.000
Al 0.000 0.000 0.000
Ag 0.128 0.628 0.500

Summary:
Spin magnetization   0.000 μB per cell
Raw total energy   -4.52 eV/atom
Volume   249.2 Å³ per cell
Crystal system   tetragonal
DOS(E_F)   7.5 states/eV/f.u.

=====

No. 3
Compound: YAlAg2
Source: Alexandria via LeMat-Bulk
Functional: PBE
Structure: optimized geometry

a = 6.024 Å, b = 9.949 Å, c = 3.232 Å
α = 90.00°, β = 117.89°, γ = 90.00°
Space group C2/m (No. 12)
One atom of each set of equivalent atoms:
Y 0.000 0.000 0.000
Al 0.000 0.500 0.000
Ag 0.250 0.250 0.500

Summary:
Spin magnetization   0.000 μB per cell
Raw total energy   -3.99 eV/atom
Volume   171.2 Å³ per cell
Crystal system   monoclinic
DOS(E_F)   1.8 states/eV/f.u.

=====

Number 1: calculated formation energy -0.8 eV/f.u.. Number 2: calculated formation energy -0.2 eV/f.u.. Number 3: calculated formation energy 0.0 eV/f.u..